Ac5La3Pr4, optimized geometry, DFT PBE-GGA; formation energy = 217 meV/atom; DOS at the Fermi energy = 1.6651 states/eV per atom; distance to the lowest polymorph of the same formula = 2.29 eV/f.u.
1.0
5.306 -3.166 0.000
5.306 3.166 0.000
-4.659 0.000 14.632
Ac La Pr
5 3 4
direct
0.000 0.000 0.000
0.170 0.170 0.500
0.277 0.277 0.761
0.723 0.723 0.239
0.830 0.830 0.500
0.068 0.068 0.250
0.500 0.500 0.000
0.932 0.932 0.750
0.334 0.334 0.137
0.443 0.443 0.375
0.557 0.557 0.625
0.666 0.666 0.863


Ac5La6Pr, optimized geometry, DFT PBE-GGA; formation energy = 20 meV/atom; DOS at the Fermi energy = 1.9458 states/eV per atom
1.0
8.602 -5.405 0.000
8.602 5.405 0.000
-1.716 0.000 5.172
Ac La Pr
5 6 1
direct
0.000 0.000 0.000
0.167 0.167 0.667
0.336 0.336 0.336
0.664 0.664 0.664
0.833 0.833 0.333
0.086 0.583 0.834
0.252 0.748 0.500
0.417 0.914 0.166
0.583 0.086 0.834
0.748 0.252 0.500
0.914 0.417 0.166
0.500 0.500 0.000


Ac3La12Pr, optimized geometry, DFT PBE-GGA; formation energy = 9 meV/atom; DOS at the Fermi energy = 1.7968 states/eV per atom
1.0
5.333 0.000 0.000
0.000 5.333 0.000
0.000 0.000 21.334
Ac La Pr
3 12 1
direct
0.000 0.000 0.000
0.000 0.000 0.252
0.000 0.000 0.748
0.000 0.500 0.126
0.000 0.500 0.378
0.000 0.500 0.622
0.000 0.500 0.874
0.500 0.000 0.126
0.500 0.000 0.378
0.500 0.000 0.622
0.500 0.000 0.874
0.500 0.500 0.000
0.500 0.500 0.253
0.500 0.500 0.500
0.500 0.500 0.747
0.000 0.000 0.500


Ac4La2Pr, optimized geometry, DFT PBE-GGA; formation energy = 37 meV/atom; DOS at the Fermi energy = 1.5478 states/eV per atom; distance to the lowest polymorph of the same formula = 0.00 eV/f.u.
1.0
7.670 0.000 0.000
1.933 9.084 0.000
0.019 4.628 8.367
Ac La Pr
8 4 2
direct
0.000 0.000 0.000
0.031 0.855 0.438
0.212 0.142 0.586
0.382 0.443 0.727
0.529 0.856 0.430
0.675 0.273 0.140
0.709 0.136 0.596
0.851 0.571 0.276
0.069 0.705 0.872
0.353 0.571 0.274
0.496 0.989 0.005
0.881 0.454 0.728
0.180 0.265 0.142
0.562 0.720 0.860


Ac12LaPr5, optimized geometry, DFT PBE-GGA; formation energy = 28 meV/atom; DOS at the Fermi energy = 1.8863 states/eV per atom
1.0
10.121 -5.885 0.000
10.121 5.885 0.000
-2.177 0.000 6.386
Ac La Pr
12 1 5
direct
0.003 0.331 0.500
0.164 0.836 0.000
0.169 0.497 0.000
0.331 0.003 0.500
0.336 0.664 0.500
0.497 0.169 0.000
0.503 0.831 0.000
0.664 0.336 0.500
0.669 0.997 0.500
0.831 0.503 0.000
0.836 0.164 0.000
0.997 0.669 0.500
0.000 0.000 0.500
0.167 0.167 0.001
0.333 0.333 0.500
0.500 0.500 0.000
0.667 0.667 0.500
0.833 0.833 0.999


AcLa2Pr, optimized geometry, DFT PBE-GGA; formation energy = 26 meV/atom; DOS at the Fermi energy = 1.9294 states/eV per atom; distance to the lowest polymorph of the same formula = 0.07 eV/f.u.
1.0
3.811 0.000 0.000
-1.906 3.300 0.000
0.000 0.000 37.093
Ac La Pr
3 6 3
direct
0.000 0.000 0.000
0.333 0.667 0.667
0.667 0.333 0.333
0.000 0.000 0.248
0.000 0.000 0.752
0.333 0.667 0.419
0.333 0.667 0.915
0.667 0.333 0.085
0.667 0.333 0.581
0.000 0.000 0.500
0.333 0.667 0.167
0.667 0.333 0.833


Ac5La2Pr3, optimized geometry, DFT PBE-GGA; formation energy = 144 meV/atom; DOS at the Fermi energy = 1.8741 states/eV per atom
1.0
5.926 -9.154 0.000
5.926 9.154 0.000
-5.923 0.000 7.563
Ac La Pr
10 4 6
direct
0.023 0.977 0.750
0.117 0.383 0.751
0.220 0.780 0.750
0.383 0.117 0.251
0.472 0.528 0.250
0.528 0.472 0.750
0.617 0.883 0.749
0.780 0.220 0.250
0.883 0.617 0.249
0.977 0.023 0.250
0.019 0.284 0.049
0.284 0.019 0.549
0.716 0.981 0.451
0.981 0.716 0.951
0.229 0.483 0.459
0.280 0.720 0.250
0.483 0.229 0.959
0.517 0.771 0.041
0.720 0.280 0.750
0.771 0.517 0.541


AcLa3Pr2, optimized geometry, DFT PBE-GGA; formation energy = 134 meV/atom; DOS at the Fermi energy = 1.0147 states/eV per atom; distance to the lowest polymorph of the same formula = 0.67 eV/f.u.
1.0
5.709 -5.584 0.000
5.709 5.584 0.000
0.000 0.000 6.994
Ac La Pr
2 6 4
direct
0.101 0.899 0.750
0.899 0.101 0.250
0.257 0.257 0.000
0.257 0.257 0.500
0.408 0.592 0.750
0.592 0.408 0.250
0.743 0.743 0.000
0.743 0.743 0.500
0.095 0.599 0.250
0.401 0.905 0.250
0.599 0.095 0.750
0.905 0.401 0.750